Here is a relaxed Sr2Bi3Rh4 crystal from Alexandria via LeMat-Bulk. Energies are from PBE-GGA.

a b c (Å): 6.453 7.587 8.972
angles (deg): 90.00 111.07 90.00
Fractional coordinates of all 18 atoms:
1 Sr 0.100 0.583 0.200
2 Sr 0.900 0.417 0.800
3 Sr 0.400 0.083 0.800
4 Sr 0.600 0.917 0.200
5 Bi 0.000 0.000 0.000
6 Bi 0.500 0.500 0.000
7 Bi 0.513 0.750 0.525
8 Bi 0.987 0.250 0.475
9 Bi 0.487 0.250 0.475
10 Bi 0.013 0.750 0.525
11 Rh 0.677 0.750 0.853
12 Rh 0.823 0.250 0.147
13 Rh 0.323 0.250 0.147
14 Rh 0.177 0.750 0.853
15 Rh 0.169 0.985 0.338
16 Rh 0.831 0.015 0.662
17 Rh 0.331 0.485 0.662
18 Rh 0.669 0.515 0.338

The total magnetization is 0.00 μB per cell. The calculation puts the total energy at -47.9 eV/f.u. As for the crystal system: orthorhombic. The calculation puts the formation energy at -384 meV per atom. The density of states at the Fermi level is 0.710 states/eV/atom.

***

Here is a relaxed ReGeOs crystal from Alexandria via LeMat-Bulk. Energies are from PBE-GGA.

a b c (Å): 4.254 4.787 5.292
angles (deg): 101.03 113.28 106.86
Fractional coordinates of all 6 atoms:
1 Re 0.730 0.758 0.269
2 Re 0.040 0.339 0.117
3 Ge 0.645 0.259 0.396
4 Ge 0.436 0.832 0.621
5 Os 0.345 0.327 0.732
6 Os 0.044 0.782 0.890

The total magnetization is 0.00 μB per cell. The calculation puts the total energy at -27.7 eV/f.u. As for the crystal system: triclinic. The calculation puts the formation energy at 199 meV per atom. As for the polymorph energy (0 for the lowest one): 137 meV/atom. The density of states at the Fermi level is 0.519 states/eV/atom.

***

Here is a relaxed K2Ga17Ag3 crystal from Alexandria via LeMat-Bulk. Energies are from PBE-GGA.

a b c (Å): 7.920 7.920 7.920
angles (deg): 82.24 82.24 82.24
Fractional coordinates of all 22 atoms:
1 K 0.360 0.360 0.360
2 K 0.640 0.640 0.640
3 Ga 0.500 0.000 0.000
4 Ga 0.000 0.000 0.500
5 Ga 0.000 0.500 0.000
6 Ga 0.000 0.749 0.251
7 Ga 0.749 0.251 0.000
8 Ga 0.251 0.000 0.749
9 Ga 0.251 0.749 0.000
10 Ga 0.749 0.000 0.251
11 Ga 0.000 0.251 0.749
12 Ga 0.175 0.670 0.670
13 Ga 0.670 0.670 0.175
14 Ga 0.670 0.175 0.670
15 Ga 0.825 0.330 0.330
16 Ga 0.330 0.330 0.825
17 Ga 0.330 0.825 0.330
18 Ga 0.120 0.120 0.120
19 Ga 0.880 0.880 0.880
20 Ag 0.000 0.500 0.500
21 Ag 0.500 0.500 0.000
22 Ag 0.500 0.000 0.500

The total magnetization is 0.00 μB per cell. The calculation puts the total energy at -61.1 eV/f.u. As for the crystal system: trigonal. The calculation puts the formation energy at 49 meV per atom. The density of states at the Fermi level is 0.378 states/eV/atom.

***

Here is a relaxed PuGeAu2 crystal from Alexandria via LeMat-Bulk. Energies are from PBE-GGA.

a b c (Å): 3.339 3.339 7.527
angles (deg): 90.00 90.00 90.00
Each line ends with the local moment (μB).
Fractional coordinates of all 4 atoms:
1 Ge 0.500 0.500 0.000  0.03
2 Au 0.000 0.000 0.777  0.01
3 Au 0.000 0.000 0.223  0.01
4 Pu 0.500 0.500 0.500  5.37

The total magnetization is 5.70 μB per cell. The calculation puts the total energy at -26.2 eV/f.u. As for the crystal system: tetragonal. The calculation puts the formation energy at -185 meV per atom. The density of states at the Fermi level is 2.230 states/eV/atom.

***

Here is a relaxed Rb3HfTh3Se8 crystal from Alexandria via LeMat-Bulk. Energies are from PBE-GGA.

a b c (Å): 8.297 8.295 9.653
angles (deg): 115.46 90.00 120.01
Fractional coordinates of all 15 atoms:
1 Rb 0.000 0.000 0.000
2 Rb 0.000 0.500 0.000
3 Rb 0.500 0.500 0.000
4 Hf 0.000 0.000 0.500
5 Th 0.500 0.000 0.500
6 Th 0.500 0.500 0.500
7 Th 0.000 0.500 0.500
8 Se 0.263 0.525 0.288
9 Se 0.737 0.475 0.712
10 Se 0.780 0.560 0.307
11 Se 0.220 0.440 0.693
12 Se 0.780 0.026 0.307
13 Se 0.220 0.974 0.693
14 Se 0.246 0.026 0.307
15 Se 0.754 0.974 0.693

Its energy relative to the elements, uncorrected is -1.499 eV per atom. The total magnetization is 0.00 μB per cell. The calculation puts the total energy at -85.5 eV/f.u. As for the crystal system: trigonal. The density of states at the Fermi level is 0.701 states/eV/atom.

***

Here is a relaxed Ge2RuAu crystal from Alexandria via LeMat-Bulk. Energies are from PBE-GGA.

a b c (Å): 5.783 5.783 6.836
angles (deg): 64.97 64.97 90.00
Fractional coordinates of all 8 atoms:
1 Ru 0.500 0.500 0.000
2 Ru 0.250 0.750 0.500
3 Ge 0.596 0.125 0.250
4 Ge 0.154 0.625 0.250
5 Ge 0.375 0.404 0.750
6 Ge 0.875 0.846 0.750
7 Au 0.000 0.000 0.000
8 Au 0.750 0.250 0.500

The total magnetization is 0.00 μB per cell. The calculation puts the total energy at -20.6 eV/f.u. As for the crystal system: tetragonal. The calculation puts the formation energy at 295 meV per atom. As for the polymorph energy (0 for the lowest one): 416 meV/atom. The density of states at the Fermi level is 0.615 states/eV/atom.

***

Here is a relaxed RbNaBe crystal from Alexandria via LeMat-Bulk. Energies are from PBE-GGA.

a b c (Å): 4.242 5.053 12.064
angles (deg): 102.03 90.10 90.01
Fractional coordinates of all 6 atoms:
1 Na 0.730 0.856 0.405
2 Na 0.227 0.422 0.539
3 Rb 0.228 0.230 0.155
4 Rb 0.724 0.563 0.819
5 Be 0.477 0.970 0.634
6 Be 0.977 0.970 0.634

The total magnetization is 0.00 μB per cell. The calculation puts the total energy at -4.6 eV/f.u. As for the crystal system: triclinic. The calculation puts the formation energy at 463 meV per atom. As for the polymorph energy (0 for the lowest one): 26 meV/atom. The density of states at the Fermi level is 0.645 states/eV/atom.

***

Here is a relaxed CrCdAu2 crystal from Alexandria via LeMat-Bulk. Energies are from PBE-GGA.

a b c (Å): 3.293 3.265 6.767
angles (deg): 90.00 90.00 90.00
Each line ends with the local moment (μB).
Fractional coordinates of all 4 atoms:
1 Au 0.000 0.000 0.979  0.03
2 Au 0.000 0.000 0.521  0.03
3 Cd 0.500 0.500 0.250  -0.01
4 Cr 0.500 0.500 0.750  3.47

The total magnetization is 3.82 μB per cell. The calculation puts the total energy at -17.1 eV/f.u. As for the crystal system: orthorhombic. The calculation puts the formation energy at 5 meV per atom. The density of states at the Fermi level is 0.455 states/eV/atom.